DFT (PBE with a Hubbard U) results for NpMnV2O8 after structural relaxation.

The structure belongs to space group C2/m (No. 12); the cell edges are 6.849, 6.735 and 6.109 Å and the angles 90.00°, 91.18° and 90.00°. Symmetry generates all atoms from Np at (0.000, 0.000, 0.000), Mn at (0.000, 0.000, 0.500), V at (0.007, 0.500, 0.271), O at (0.001, 0.197, 0.740), O at (0.189, 0.500, 0.492) and O at (0.190, 0.500, 0.995).

For the volume, the calculation gives 282 Å³/cell. For the total energy, the calculation gives -8.381 eV per atom. As for the total moment: 0.0057 μB per atom.